Record 1
A relaxed structure of Th2TlCl8. Source: the Alexandria database, functional GGA-PBE.

Summary:
The spin magnetization is 1.18 μB per cell. The uncorrected formation energy comes out at -1.86 eV per atom.

Unit cell a=5.5503 b=7.7776 c=7.7776 alpha=111.76 beta=95.77 gamma=95.77
With the nearest neighbours (Å) after each atom.
Element x y z (fractional)
Tl  0.5000  0.0000  0.0000  8 Cl 3.34-3.58
Th  0.0000  0.3208  0.6792  8 Cl 2.85-2.89
Th  0.0000  0.6792  0.3208  8 Cl 2.85-2.89
Cl  0.9236  0.6725  0.9458  2 Th 2.86-2.89
Cl  0.9236  0.9458  0.6725  2 Th 2.86-2.89
Cl  0.0764  0.3275  0.0542  2 Th 2.86-2.89
Cl  0.0764  0.0542  0.3275  2 Th 2.86-2.89
Cl  0.7165  0.3938  0.3938  2 Th 2.85
Cl  0.5000  0.7404  0.2596  2 Th 2.88
Cl  0.5000  0.2596  0.7404  2 Th 2.88
Cl  0.2835  0.6062  0.6062  2 Th 2.85


Record 2
A relaxed structure of ThTlCl. Source: the Alexandria database, functional GGA-PBE.

Summary:
The spin magnetization is 0.00 μB per cell. The uncorrected formation energy comes out at -0.84 eV per atom.

Unit cell a=7.3177 b=4.9788 c=11.1373 alpha=90.00 beta=99.44 gamma=90.00
With the nearest neighbours (Å) after each atom.
Element x y z (fractional)
Cl  0.9043  0.2499  0.1161  2 Th 2.81
Cl  0.5957  0.7499  0.8839  2 Th 2.81
Cl  0.4043  0.2501  0.1161  2 Th 2.81
Cl  0.0957  0.7501  0.8839  2 Th 2.81
Th  0.2029  0.2500  0.3106  2 Cl 2.81
Th  0.7029  0.2500  0.3106  2 Cl 2.81
Th  0.2971  0.7500  0.6894  2 Cl 2.81
Th  0.7971  0.7500  0.6894  2 Cl 2.81
Tl  0.9780  0.7500  0.4109  2 Tl 3.17, 4 Th 3.28
Tl  0.0220  0.2500  0.5891  2 Tl 3.17, 4 Th 3.28
Tl  0.5220  0.2500  0.5891  2 Tl 3.17, 4 Th 3.28
Tl  0.4780  0.7500  0.4109  2 Tl 3.17, 4 Th 3.28


What did the second record say?
A relaxed structure of ThTlCl. Source: the Alexandria database, functional GGA-PBE.

Summary:
The spin magnetization is 0.00 μB per cell. The uncorrected formation energy comes out at -0.84 eV per atom.

Unit cell a=7.3177 b=4.9788 c=11.1373 alpha=90.00 beta=99.44 gamma=90.00
With the nearest neighbours (Å) after each atom.
Element x y z (fractional)
Cl  0.9043  0.2499  0.1161  2 Th 2.81
Cl  0.5957  0.7499  0.8839  2 Th 2.81
Cl  0.4043  0.2501  0.1161  2 Th 2.81
Cl  0.0957  0.7501  0.8839  2 Th 2.81
Th  0.2029  0.2500  0.3106  2 Cl 2.81
Th  0.7029  0.2500  0.3106  2 Cl 2.81
Th  0.2971  0.7500  0.6894  2 Cl 2.81
Th  0.7971  0.7500  0.6894  2 Cl 2.81
Tl  0.9780  0.7500  0.4109  2 Tl 3.17, 4 Th 3.28
Tl  0.0220  0.2500  0.5891  2 Tl 3.17, 4 Th 3.28
Tl  0.5220  0.2500  0.5891  2 Tl 3.17, 4 Th 3.28
Tl  0.4780  0.7500  0.4109  2 Tl 3.17, 4 Th 3.28